1.
A relaxed BaAgBi2Te4 crystal. Source: Alexandria via LeMat-Bulk, functional PBE.

Structure (POSCAR):
```
BaAgBi2Te4
1.0
4.903 0.000 0.000
-2.451 7.307 0.000
0.000 0.000 15.644
Ba Ag Bi Te
2 2 4 8
direct
0.130 0.260 0.750
0.870 0.740 0.250
0.866 0.733 0.750
0.134 0.267 0.250
0.373 0.746 0.556
0.627 0.254 0.056
0.627 0.254 0.444
0.373 0.746 0.944
0.266 0.532 0.112
0.734 0.468 0.612
0.734 0.468 0.888
0.266 0.532 0.388
0.000 0.000 0.500
0.000 0.000 0.000
0.457 0.913 0.750
0.543 0.087 0.250
```

Results
Magnetization (Bohr magnetons per cell): 0.00
DFT total energy (eV per atom): -3.65
SG: Cmcm

2.
A relaxed BaTlAg2Bi crystal. Source: Alexandria via LeMat-Bulk, functional PBE.

Structure (POSCAR):
```
BaTlAg2Bi
1.0
5.486 0.000 0.000
0.000 6.732 0.000
0.000 0.000 5.486
Tl Bi Ag Ba
1 1 2 1
direct
0.500 0.500 0.500
0.000 0.000 0.000
0.000 0.000 0.500
0.500 0.000 0.000
0.000 0.500 0.000
```

Results
Magnetization (Bohr magnetons per cell): 0.00
Formation energy from the elements (eV/f.u.): 0.8
SG: P4/mmm

3.
A relaxed Ba2TmAg3Bi4 crystal. Source: Alexandria via LeMat-Bulk, functional PBE.

Structure (POSCAR):
```
Ba2TmAg3Bi4
1.0
-3.309 -2.307 -3.011
-2.173 -2.123 4.014
-7.722 9.781 0.993
Ba Tm Ag Bi
2 1 3 4
direct
0.500 0.000 0.228
0.000 0.500 0.772
0.500 0.500 0.500
0.000 0.000 0.500
0.500 0.000 0.871
0.000 0.500 0.129
0.500 0.500 0.000
0.000 0.000 0.000
0.500 0.000 0.640
0.000 0.500 0.360
```

Results
Magnetization (Bohr magnetons per cell): 0.00
Formation energy from the elements (eV/f.u.): -4.9
SG: P-4m2

4.
A relaxed Ba3Tm2Ag2Bi4 crystal. Source: Alexandria via LeMat-Bulk, functional PBE.

Structure (POSCAR):
```
Ba3Tm2Ag2Bi4
1.0
5.012 0.000 0.000
-2.506 4.340 0.000
0.000 0.000 18.295
Ba Tm Ag Bi
3 2 2 4
direct
0.000 0.000 0.744
0.000 0.000 0.000
0.000 0.000 0.256
0.667 0.333 0.441
0.333 0.667 0.559
0.667 0.333 0.869
0.333 0.667 0.131
0.667 0.333 0.129
0.333 0.667 0.871
0.667 0.333 0.620
0.333 0.667 0.380
```

Results
Magnetization (Bohr magnetons per cell): 0.46
Formation energy from the elements (eV/f.u.): -6.8
SG: P-3m1

5.
A relaxed BaVAgBi2 crystal. Source: Alexandria via LeMat-Bulk, functional PBE.

Structure (POSCAR):
```
BaVAgBi2
1.0
-0.906 -4.152 3.573
5.455 0.585 2.063
-1.818 3.644 3.774
V Bi Ag Ba
1 2 1 1
direct
0.500 0.500 0.500
0.000 0.000 0.500
0.500 0.000 0.000
0.000 0.000 0.000
0.000 0.500 0.000
```

Results
Magnetization (Bohr magnetons per cell): 0.04
Formation energy from the elements (eV/f.u.): 4.4
SG: P4/mmm

6.
A relaxed Ba2YAg3Bi4 crystal. Source: Alexandria via LeMat-Bulk, functional PBE.

Structure (POSCAR):
```
Ba2YAg3Bi4
1.0
5.042 0.000 0.000
0.000 5.042 0.000
0.000 0.000 12.562
Ba Y Ag Bi
2 1 3 4
direct
0.500 0.000 0.227
0.000 0.500 0.773
0.500 0.500 0.500
0.000 0.000 0.500
0.500 0.000 0.872
0.000 0.500 0.128
0.500 0.500 0.000
0.000 0.000 0.000
0.500 0.000 0.642
0.000 0.500 0.358
```

Results
Magnetization (Bohr magnetons per cell): 0.00
Formation energy from the elements (eV/f.u.): -5.1
SG: P-4m2